Li5Ti2V3O10: optimized geometry, PBE+U.

Results
M_tot (μB per formula unit): 7.92
N(E_F) (states/eV per cell): 0.206
DFT total energy (eV per atom): -7.18
Space-group type: P-1 (2)

a = 5.1627 Å, b = 5.2265 Å, c = 7.8310 Å
α = 71.28°, β = 71.78°, γ = 81.44°
Element x y z (fractional)
1 Li 0.0000 0.0000 0.0000
2 Li 0.4812 0.8992 0.7184
3 Li 0.4958 0.2812 0.9058
4 Li 0.5042 0.7188 0.0942
5 Li 0.5188 0.1008 0.2816
6 Ti 0.0186 0.3943 0.1929
7 Ti 0.9814 0.6057 0.8071
8 V 0.0126 0.1927 0.6023
9 V 0.5000 0.5000 0.5000
10 V 0.9874 0.8073 0.3977
11 O 0.2186 0.6389 0.9587
12 O 0.2332 0.0775 0.1584
13 O 0.2415 0.8302 0.5639
14 O 0.2446 0.4623 0.3473
15 O 0.2488 0.2770 0.7470
16 O 0.7512 0.7230 0.2530
17 O 0.7554 0.5377 0.6527
18 O 0.7585 0.1698 0.4361
19 O 0.7668 0.9225 0.8416
20 O 0.7814 0.3611 0.0413